Crystalline Tb12Fe3H5 at its relaxed geometry, computed with PBE.

```
data_Tb12Fe3H5
_symmetry_space_group_name_H-M 'P 1'
_symmetry_Int_Tables_number 1
_cell_length_a 12.950
_cell_length_b 12.950
_cell_length_c 12.950
_cell_angle_alpha 109.47
_cell_angle_beta 109.47
_cell_angle_gamma 109.47
loop_
_symmetry_equiv_pos_as_xyz
'x,y,z'
loop_
_atom_site_label
_atom_site_fract_x
_atom_site_fract_y
_atom_site_fract_z
_atom_site_occupancy
Tb1 0.031 0.219 0.124 1
Tb2 0.031 0.312 0.907 1
Tb3 0.093 0.624 0.405 1
Tb4 0.093 0.969 0.688 1
Tb5 0.095 0.719 0.688 1
Tb6 0.095 0.876 0.407 1
Tb7 0.124 0.031 0.219 1
Tb8 0.124 0.593 0.905 1
Tb9 0.188 0.219 0.595 1
Tb10 0.188 0.469 0.593 1
Tb11 0.219 0.124 0.031 1
Tb12 0.219 0.595 0.188 1
Tb13 0.281 0.312 0.905 1
Tb14 0.281 0.469 0.376 1
Tb15 0.312 0.905 0.281 1
Tb16 0.312 0.907 0.031 1
Tb17 0.376 0.281 0.469 1
Tb18 0.376 0.595 0.907 1
Tb19 0.405 0.093 0.624 1
Tb20 0.405 0.812 0.781 1
Tb21 0.407 0.095 0.876 1
Tb22 0.407 0.812 0.531 1
Tb23 0.469 0.376 0.281 1
Tb24 0.469 0.593 0.188 1
Tb25 0.531 0.407 0.812 1
Tb26 0.531 0.624 0.719 1
Tb27 0.593 0.188 0.469 1
Tb28 0.593 0.905 0.124 1
Tb29 0.595 0.188 0.219 1
Tb30 0.595 0.907 0.376 1
Tb31 0.624 0.405 0.093 1
Tb32 0.624 0.719 0.531 1
Tb33 0.688 0.093 0.969 1
Tb34 0.688 0.095 0.719 1
Tb35 0.719 0.531 0.624 1
Tb36 0.719 0.688 0.095 1
Tb37 0.781 0.405 0.812 1
Tb38 0.781 0.876 0.969 1
Tb39 0.812 0.531 0.407 1
Tb40 0.812 0.781 0.405 1
Tb41 0.876 0.407 0.095 1
Tb42 0.876 0.969 0.781 1
Tb43 0.905 0.124 0.593 1
Tb44 0.905 0.281 0.312 1
Tb45 0.907 0.031 0.312 1
Tb46 0.907 0.376 0.595 1
Tb47 0.969 0.688 0.093 1
Tb48 0.969 0.781 0.876 1
Fe1 0.125 0.250 0.375 1
Fe2 0.125 0.375 0.750 1
Fe3 0.250 0.375 0.125 1
Fe4 0.250 0.875 0.625 1
Fe5 0.375 0.125 0.250 1
Fe6 0.375 0.750 0.125 1
Fe7 0.625 0.250 0.875 1
Fe8 0.625 0.875 0.750 1
Fe9 0.750 0.125 0.375 1
Fe10 0.750 0.625 0.875 1
Fe11 0.875 0.625 0.250 1
Fe12 0.875 0.750 0.625 1
H1 0.000 0.000 0.000 1
H2 0.000 0.000 0.500 1
H3 0.000 0.500 0.000 1
H4 0.000 0.500 0.500 1
H5 0.125 0.750 0.875 1
H6 0.125 0.875 0.250 1
H7 0.250 0.125 0.875 1
H8 0.250 0.625 0.375 1
H9 0.375 0.250 0.625 1
H10 0.375 0.625 0.750 1
H11 0.500 0.000 0.000 1
H12 0.500 0.000 0.500 1
H13 0.500 0.500 0.000 1
H14 0.500 0.500 0.500 1
H15 0.625 0.375 0.250 1
H16 0.625 0.750 0.375 1
H17 0.750 0.375 0.625 1
H18 0.750 0.875 0.125 1
H19 0.875 0.125 0.750 1
H20 0.875 0.250 0.125 1
```

Total DFT energy (no corrections) ... -0.3682 Ry per atom
Size of the total moment ... 0.004 μB/cell
DOS(E_F) ... 44.5 states/eV per cell
Crystal system ... cubic